No. 1
Below is crystalline Cs3SmBr8 at its relaxed geometry, with properties calculated at the GGA-PBE level.

Lattice parameters (Å, degrees): 10.0275 10.0275 10.0275 132.01 132.01 70.21
Closest atoms and distances in Å follow each position.
Element x y z (fractional)
Cs (0.0000, 0.0000, 0.0000)  8 Br 3.75
Cs (0.2500, 0.7500, 0.5000)  8 Br 3.74
Cs (0.7500, 0.2500, 0.5000)  8 Br 3.74
Sm (0.5000, 0.5000, 0.0000)  8 Br 3.02
Br (0.1800, 0.1800, 0.5743)  1 Sm 3.02
Br (0.1800, 0.6057, 0.0000)  1 Sm 3.02
Br (0.3943, 0.3943, 0.5743)  1 Sm 3.02
Br (0.3943, 0.8200, 0.0000)  1 Sm 3.02
Br (0.6057, 0.1800, 0.0000)  1 Sm 3.02
Br (0.6057, 0.6057, 0.4257)  1 Sm 3.02
Br (0.8200, 0.3943, 0.0000)  1 Sm 3.02
Br (0.8200, 0.8200, 0.4257)  1 Sm 3.02

- Energy relative to the elements, uncorrected: -1.397 eV/atom
- Uncorrected energy: -3.12 eV per atom

No. 2
Below is crystalline BiSb2SeI at its relaxed geometry, with properties calculated at the GGA-PBE level.

Lattice parameters (Å, degrees): 5.9699 5.9699 5.9054 90.00 90.00 90.00
Closest atoms and distances in Å follow each position.
Element x y z (fractional)
Bi (0.0000, 0.0000, 0.0000)  2 I 2.95, 4 Sb 2.98
Sb (0.0000, 0.5000, 0.0000)  2 Bi 2.98
Sb (0.5000, 0.0000, 0.0000)  2 Bi 2.98
Se (0.5000, 0.5000, 0.5000)  8 Sb 4.20, 4 I 4.22
I (0.0000, 0.0000, 0.5000)  2 Bi 2.95

- Energy above the most stable polymorph in this dataset: 322.4 meV per atom
- Energy relative to the elements, uncorrected: 0.892 eV/atom
- Uncorrected energy: -2.54 eV per atom

No. 3
Below is crystalline Y2CoIrN at its relaxed geometry, with properties calculated at the GGA-PBE level.

Lattice parameters (Å, degrees): 4.9052 4.9052 3.5264 90.00 90.00 90.00
Closest atoms and distances in Å follow each position.
Element x y z (fractional)
Y (0.0000, 0.5000, 0.0000)  2 N 2.45
Y (0.5000, 0.0000, 0.0000)  2 N 2.45
Co (0.0000, 0.0000, 0.5000)  2 N 1.76
Ir (0.5000, 0.5000, 0.5000)  8 Y 3.02
N (0.0000, 0.0000, 0.0000)  2 Co 1.76

- Energy relative to the elements, uncorrected: -0.834 eV/atom
- Uncorrected energy: -8.28 eV per atom

No. 4
Below is crystalline SnHgO2 at its relaxed geometry, with properties calculated at the GGA-PBE level.

Lattice parameters (Å, degrees): 4.3705 4.3705 4.3705 60.00 60.00 60.00
Closest atoms and distances in Å follow each position.
Element x y z (fractional)
Sn (0.0000, 0.0000, 0.0000)  8 O 2.68
Hg (0.5000, 0.5000, 0.5000)  8 O 2.68
O (0.2500, 0.2500, 0.2500)  4 Hg 2.68, 4 Sn 2.68
O (0.7500, 0.7500, 0.7500)  4 Hg 2.68, 4 Sn 2.68

- Energy above the most stable polymorph in this dataset: 946.7 meV per atom
- Energy relative to the elements, uncorrected: -0.157 eV/atom
- Uncorrected energy: -3.71 eV per atom

No. 5
Below is crystalline ZrNbO2F at its relaxed geometry, with properties calculated at the GGA-PBE level.

Lattice parameters (Å, degrees): 4.0635 4.0635 4.2132 90.00 90.00 90.00
Closest atoms and distances in Å follow each position.
Element x y z (fractional)
Zr (0.0000, 0.0000, 0.0000)  4 F 2.87, 8 O 2.93
Nb (0.5000, 0.5000, 0.5000)  4 O 2.03, 2 F 2.11
O (0.0000, 0.5000, 0.5000)  2 Nb 2.03
O (0.5000, 0.0000, 0.5000)  2 Nb 2.03
F (0.5000, 0.5000, 0.0000)  2 Nb 2.11

- Energy relative to the elements, uncorrected: -1.528 eV/atom
- Uncorrected energy: -7.61 eV per atom

No. 6
Below is crystalline Nd6ZnCl8 at its relaxed geometry, with properties calculated at the GGA-PBE level.

Lattice parameters (Å, degrees): 11.1471 11.1471 11.1471 36.88 36.88 36.88
Closest atoms and distances in Å follow each position.
Element x y z (fractional)
Nd (0.0539, 0.3806, 0.7273)  1 Zn 2.85, 5 Cl 2.86-2.95
Nd (0.2727, 0.9461, 0.6194)  1 Zn 2.85, 5 Cl 2.86-2.95
Nd (0.3806, 0.7273, 0.0539)  1 Zn 2.85, 5 Cl 2.86-2.95
Nd (0.6194, 0.2727, 0.9461)  1 Zn 2.85, 5 Cl 2.86-2.95
Nd (0.7273, 0.0539, 0.3806)  1 Zn 2.85, 5 Cl 2.86-2.95
Nd (0.9461, 0.6194, 0.2727)  1 Zn 2.85, 5 Cl 2.86-2.95
Zn (0.0000, 0.0000, 0.0000)  6 Nd 2.85
Cl (0.1080, 0.7784, 0.4373)  3 Nd 2.86-2.95
Cl (0.2216, 0.5627, 0.8920)  3 Nd 2.86-2.95
Cl (0.3333, 0.3333, 0.3333)  6 Nd 2.91
Cl (0.4373, 0.1080, 0.7784)  3 Nd 2.86-2.95
Cl (0.5627, 0.8920, 0.2216)  3 Nd 2.86-2.95
Cl (0.6667, 0.6667, 0.6667)  6 Nd 2.91
Cl (0.7784, 0.4373, 0.1080)  3 Nd 2.86-2.95
Cl (0.8920, 0.2216, 0.5627)  3 Nd 2.86-2.95

- Energy relative to the elements, uncorrected: -1.623 eV/atom
- Uncorrected energy: -4.60 eV per atom

No. 7
Below is crystalline BaMg2H8Os at its relaxed geometry, with properties calculated at the GGA-PBE level.

Lattice parameters (Å, degrees): 4.9628 4.9628 10.8121 90.00 90.00 90.00
Closest atoms and distances in Å follow each position.
Element x y z (fractional)
Ba (0.0000, 0.5000, 0.0000)  8 H 2.67-2.77
Ba (0.5000, 0.0000, 0.5000)  8 H 2.67-2.77
Mg (0.0000, 0.5000, 0.3608)  6 H 1.96-2.12
Mg (0.0000, 0.5000, 0.6392)  6 H 1.96-2.12
Mg (0.5000, 0.0000, 0.1392)  6 H 1.96-2.12
Mg (0.5000, 0.0000, 0.8608)  6 H 1.96-2.12
H (0.0000, 0.0000, 0.0924)  1 Os 1.70
H (0.0000, 0.0000, 0.4076)  1 Os 1.70
H (0.0000, 0.0000, 0.5924)  1 Os 1.70
H (0.0000, 0.0000, 0.9076)  1 Os 1.70
H (0.2452, 0.2452, 0.2500)  1 Os 1.72
H (0.2452, 0.2452, 0.7500)  1 Os 1.72
H (0.2452, 0.7548, 0.2500)  1 Os 1.72
H (0.2452, 0.7548, 0.7500)  1 Os 1.72
H (0.2526, 0.5000, 0.5000)  2 Mg 1.96
H (0.5000, 0.2526, 0.0000)  2 Mg 1.96
H (0.5000, 0.7474, 0.0000)  2 Mg 1.96
H (0.7474, 0.5000, 0.5000)  2 Mg 1.96
H (0.7548, 0.2452, 0.2500)  1 Os 1.72
H (0.7548, 0.2452, 0.7500)  1 Os 1.72
H (0.7548, 0.7548, 0.2500)  1 Os 1.72
H (0.7548, 0.7548, 0.7500)  1 Os 1.72
Os (0.0000, 0.0000, 0.2500)  6 H 1.70-1.72
Os (0.0000, 0.0000, 0.7500)  6 H 1.70-1.72

- Uncorrected energy: -4.03 eV per atom

No. 8
Below is crystalline HfNbFeNi2 at its relaxed geometry, with properties calculated at the GGA-PBE level.

Lattice parameters (Å, degrees): 4.4549 4.4549 4.4723 90.00 90.00 90.00
Closest atoms and distances in Å follow each position.
Element x y z (fractional)
Hf (0.0000, 0.0000, 0.0000)  4 Ni 2.23, 2 Fe 2.24
Nb (0.5000, 0.5000, 0.5000)  4 Fe 3.15, 8 Ni 3.16
Fe (0.0000, 0.0000, 0.5000)  2 Hf 2.24
Ni (0.0000, 0.5000, 0.0000)  2 Hf 2.23
Ni (0.5000, 0.0000, 0.0000)  2 Hf 2.23

- ΔH_f (0 K): 6.03 eV/f.u.
- Uncorrected energy: -6.80 eV per atom

What is the formula in the first record?
Cs3SmBr8

The highest uncorrected energy belongs to which entry?
BiSb2SeI

Which of these has the lowest uncorrected energy?
Y2CoIrN